1.
VASP calculation (PBE) on a relaxed Ba4Bi2N crystal.

Unit cell a=5.2255 b=5.7574 c=9.0604 alpha=108.53 beta=90.00 gamma=90.00
With the nearest neighbours (Å) after each atom.
Element x y z (fractional)
Ba (0.0000, 0.8323, 0.6645)  1 N 2.88
Bi (0.5000, 0.6517, 0.3034)  10 Ba 3.69-4.06
Ba (0.5000, 0.0000, 0.0000)  2 N 2.61
Ba (0.0000, 0.5000, 0.0000)  2 N 2.88
N (0.0000, 0.0000, 0.0000)  6 Ba 2.61-2.88
Ba (0.0000, 0.1677, 0.3355)  1 N 2.88
Bi (0.5000, 0.3483, 0.6966)  10 Ba 3.69-4.06

Properties
Final energy   -4.10 eV per atom
Density   6.305 Mg/m³
Formation energy without anion corrections   -0.703 eV per atom
ΔE to the lowest computed polymorph   0.044 eV per atom

---

2.
VASP calculation (PBE) on a relaxed Ba4Bi2N crystal.

Unit cell a=7.5433 b=7.8242 c=10.5172 alpha=90.00 beta=109.83 gamma=90.00
With the nearest neighbours (Å) after each atom.
Element x y z (fractional)
Ba (0.9234, 0.2500, 0.6508)  1 N 2.51
N (0.2846, 0.7500, 0.2063)  4 Ba 2.49-2.53
Ba (0.4937, 0.0043, 0.7284)  1 N 2.49
Ba (0.0766, 0.7500, 0.3492)  1 N 2.51
Ba (0.1337, 0.7500, 0.9512)  1 N 2.53
Ba (0.5063, 0.9957, 0.2716)  1 N 2.49
Ba (0.4937, 0.4957, 0.7284)  1 N 2.49
Ba (0.8663, 0.2500, 0.0488)  1 N 2.53
Ba (0.5063, 0.5043, 0.2716)  1 N 2.49
Bi (0.3114, 0.2500, 0.9636)  7 Ba 3.59-3.97
N (0.7154, 0.2500, 0.7937)  4 Ba 2.49-2.53
Bi (0.6886, 0.7500, 0.0364)  7 Ba 3.59-3.97
Bi (0.1948, 0.2500, 0.4140)  8 Ba 3.72-4.02
Bi (0.8052, 0.7500, 0.5860)  8 Ba 3.72-4.02

Properties
Final energy   -4.11 eV per atom
Density   5.581 Mg/m³
Formation energy without anion corrections   -0.712 eV per atom
ΔE to the lowest computed polymorph   0.036 eV per atom

---

3.
VASP calculation (PBE) on a relaxed Ba7Bi2N2 crystal.

Unit cell a=7.1074 b=9.1924 c=9.1924 alpha=104.58 beta=98.15 gamma=98.15
With the nearest neighbours (Å) after each atom.
Element x y z (fractional)
Bi (0.0000, 0.6977, 0.3023)  6 Ba 3.55-3.70
Ba (0.2034, 0.3770, 0.0905)  1 N 2.54
Ba (0.7966, 0.9095, 0.6230)  1 N 2.54
Ba (0.5000, 0.0000, 0.0000)  2 N 2.70
N (0.3996, 0.2177, 0.2177)  4 Ba 2.53-2.70
Ba (0.7163, 0.3764, 0.3764)  1 N 2.53
Ba (0.2837, 0.6236, 0.6236)  1 N 2.53
Ba (0.2034, 0.0905, 0.3770)  1 N 2.54
Ba (0.7966, 0.6230, 0.9095)  1 N 2.54
N (0.6004, 0.7823, 0.7823)  4 Ba 2.53-2.70
Bi (0.0000, 0.3023, 0.6977)  6 Ba 3.55-3.70

Properties
Final energy   -3.94 eV per atom
Density   4.133 Mg/m³
Formation energy without anion corrections   -0.497 eV per atom

---

4.
VASP calculation (PBE) on a relaxed BaBiN crystal.

Unit cell a=5.3129 b=5.2228 c=8.2187 alpha=106.00 beta=90.00 gamma=120.57
With the nearest neighbours (Å) after each atom.
Element x y z (fractional)
N (0.5706, 0.1411, 0.0287)  1 N 1.20
N (0.4294, 0.8589, 0.9713)  1 N 1.20
Ba (0.8921, 0.7841, 0.1898)  1 N 2.77
Bi (0.3221, 0.6441, 0.4639)  3 Bi 3.06-3.10
Bi (0.6779, 0.3559, 0.5361)  3 Bi 3.06-3.10
Ba (0.1079, 0.2159, 0.8102)  1 N 2.77

Properties
Final energy   -5.12 eV per atom
Density   6.433 Mg/m³
Formation energy without anion corrections   -0.407 eV per atom